Below is a geometry-optimized NaCrSb3 structure, with properties calculated at the GGA-PBEsol level.

Geometry as POSCAR:
```
NaCrSb3
1.0
-3.047 0.079 4.272
-2.447 -4.335 -1.665
3.503 -2.958 2.554
Sb Na Cr
3 1 1
direct
0.500 0.000 0.000 Sb
0.000 0.500 0.000 Sb
0.000 0.000 0.500 Sb
0.000 0.000 0.000 Na
0.500 0.500 0.500 Cr
```

Properties
Formation energy from raw total energies ... 560 kJ/mol of formula units
Total moment ... 4.4 μB/cell
Symmetry ... Pm-3m (221)
Density of states at the Fermi level ... 3.1 states/eV per cell
ρ ... 5.06 g/cm3
Crystal system ... cubic